1.
The following is a DFT calculation (GGA-PBE) of an optimized crystal structure of TmHgI3.

a b c (Å): 5.976 5.976 5.976
angles (deg): 90.00 90.00 90.00
Positions (direct):
I 0.000 0.500 0.000
I 0.000 0.000 0.500
I 0.500 0.000 0.000
Tm 0.000 0.000 0.000
Hg 0.500 0.500 0.500

- Crystal system: cubic
- Raw formation energy: -946 meV per atom
- Space-group type: Pm-3m (221)
- DFT total energy: -14.154 eV per cell

=====

2.
The following is a DFT calculation (GGA-PBE) of an optimized crystal structure of TmHgI3.

a b c (Å): 8.128 8.128 9.223
angles (deg): 90.00 63.86 60.00
Positions (direct):
Tm 0.046 0.932 0.740
Tm 0.380 0.265 0.739
Hg 0.863 0.523 0.515
Hg 0.563 0.673 0.964
I 0.375 0.017 0.497
I 0.052 0.679 0.982
I 0.551 0.179 0.982
I 0.052 0.179 0.982
I 0.375 0.518 0.497
I 0.875 0.017 0.497

- Crystal system: trigonal
- Raw formation energy: -1015 meV per atom
- Space-group type: R-3m (166)
- DFT total energy: -29.001 eV per cell

=====

| no. | polymorph energy (0 for the lowest one) (meV per atom) |
| --- | --- |
| 1 | 69 |
| 2 | 0 |